Entry 1:
DFT (PBE) results for a relaxed Tm2Ga2Os crystal.

a b c (Å): 5.7700 5.7700 10.3719
angles (deg): 114.66 114.66 42.04
Atoms (fractional coordinates):
Tm 0.0067 0.0067 0.3299
Tm 0.1920 0.1920 0.1224
Tm 0.8080 0.8080 0.8776
Tm 0.9933 0.9933 0.6701
Ga 0.3578 0.3578 0.4442
Ga 0.4808 0.4808 0.1141
Ga 0.5192 0.5192 0.8859
Ga 0.6422 0.6422 0.5558
Os 0.2828 0.2828 0.6523
Os 0.7172 0.7172 0.3477

Values from the calculation:
* crystal system: monoclinic
* DOS(E_F): 0.731 states/eV per atom
* final energy: -5.75 eV/atom
* formation energy from the elements: -0.51 eV per atom
* space-group type: C2/m


Entry 2:
DFT (PBE) results for a relaxed Tm6GaOs crystal.

a b c (Å): 6.5390 6.5390 6.6181
angles (deg): 101.77 101.77 118.39
Atoms (fractional coordinates):
Tm 0.0515 0.4254 0.2447
Tm 0.2400 0.2400 0.7603
Tm 0.4254 0.0515 0.2447
Tm 0.5746 0.9485 0.7553
Tm 0.7600 0.7600 0.2397
Tm 0.9485 0.5746 0.7553
Ga 0.5000 0.5000 0.5000
Os 0.0000 0.0000 0.0000

Values from the calculation:
* crystal system: monoclinic
* DOS(E_F): 1.167 states/eV per atom
* final energy: -5.21 eV/atom
* formation energy from the elements: -0.07 eV per atom
* space-group type: C2/m


Entry 3:
DFT (PBE) results for a relaxed TmGa4Os crystal.

a b c (Å): 4.4741 4.4741 14.4127
angles (deg): 90.00 90.00 90.00
Atoms (fractional coordinates):
Tm 0.2500 0.7500 0.2500
Tm 0.7500 0.2500 0.7500
Ga 0.0023 0.2500 0.5616
Ga 0.2500 0.0023 0.0616
Ga 0.2500 0.4977 0.0616
Ga 0.4977 0.2500 0.5616
Ga 0.5023 0.7500 0.4384
Ga 0.7500 0.5023 0.9384
Ga 0.7500 0.9977 0.9384
Ga 0.9977 0.7500 0.4384
Os 0.2500 0.7500 0.7500
Os 0.7500 0.2500 0.2500

Values from the calculation:
* crystal system: tetragonal
* DOS(E_F): 0.784 states/eV per atom
* final energy: -3.74 eV/atom
* formation energy from the elements: 0.90 eV per atom
* space-group type: P4_2/nmc


Entry 4:
DFT (PBE) results for a relaxed YTmGaOs crystal.

a b c (Å): 4.8976 4.8976 4.8976
angles (deg): 60.00 60.00 60.00
Atoms (fractional coordinates):
Y 0.0000 0.0000 0.0000
Tm 0.5000 0.5000 0.5000
Ga 0.7500 0.7500 0.7500
Os 0.2500 0.2500 0.2500

Values from the calculation:
* crystal system: cubic
* DOS(E_F): 0.709 states/eV per atom
* final energy: -6.68 eV/atom
* formation energy from the elements: -0.38 eV per atom
* space-group type: F-43m


Entry 5:
DFT (PBE) results for a relaxed TmZnGaOs crystal.

a b c (Å): 4.5559 4.5559 4.5559
angles (deg): 60.00 60.00 60.00
Atoms (fractional coordinates):
Tm 0.0000 0.0000 0.0000
Zn 0.2500 0.2500 0.2500
Ga 0.7500 0.7500 0.7500
Os 0.5000 0.5000 0.5000

Values from the calculation:
* crystal system: cubic
* DOS(E_F): 0.779 states/eV per atom
* final energy: -5.19 eV/atom
* formation energy from the elements: -0.19 eV per atom
* space-group type: F-43m


Entry 6:
DFT (PBE) results for a relaxed UGaOs crystal.

a b c (Å): 6.4681 4.2919 7.9558
angles (deg): 90.00 90.00 90.00
Atoms (fractional coordinates):
U 0.0223 0.2500 0.1985
U 0.4777 0.7500 0.6985
U 0.5223 0.2500 0.3015
U 0.9777 0.7500 0.8015
Ga 0.1638 0.2500 0.5692
Ga 0.3362 0.7500 0.0692
Ga 0.6638 0.2500 0.9308
Ga 0.8362 0.7500 0.4308
Os 0.2481 0.2500 0.8928
Os 0.2519 0.7500 0.3928
Os 0.7481 0.2500 0.6072
Os 0.7519 0.7500 0.1072

Values from the calculation:
* crystal system: orthorhombic
* DOS(E_F): 1.572 states/eV per atom
* final energy: -8.76 eV/atom
* formation energy from the elements: -0.25 eV per atom
* space-group type: Pnma


Entry 7:
DFT (PBE) results for a relaxed UGa2Os crystal.

a b c (Å): 4.6099 4.6099 4.6099
angles (deg): 60.00 60.00 60.00
Atoms (fractional coordinates):
U 0.0000 0.0000 0.0000
Ga 0.2500 0.2500 0.2500
Ga 0.7500 0.7500 0.7500
Os 0.5000 0.5000 0.5000

Values from the calculation:
* crystal system: cubic
* DOS(E_F): 1.199 states/eV per atom
* final energy: -7.17 eV/atom
* formation energy from the elements: -0.03 eV per atom
* space-group type: Fm-3m


Entry 8:
DFT (PBE) results for a relaxed UGaOs crystal.

a b c (Å): 6.0199 6.0199 6.0199
angles (deg): 150.21 150.21 42.64
Atoms (fractional coordinates):
U 0.0000 0.0000 0.0000
Ga 0.2992 0.2992 0.0000
Os 0.6621 0.6621 0.0000

Values from the calculation:
* crystal system: tetragonal
* DOS(E_F): 1.157 states/eV per atom
* final energy: -8.63 eV/atom
* formation energy from the elements: -0.12 eV per atom
* space-group type: I4mm


Entry 9:
DFT (PBE) results for a relaxed U2GaOs2 crystal.

a b c (Å): 4.1207 4.1207 6.1010
angles (deg): 90.00 90.00 101.52
Atoms (fractional coordinates):
U 0.0000 0.0000 0.2133
U 0.0000 0.0000 0.7867
Ga 0.5000 0.5000 0.0000
Os 0.3054 0.6946 0.5000
Os 0.6946 0.3054 0.5000

Values from the calculation:
* crystal system: orthorhombic
* DOS(E_F): 1.482 states/eV per atom
* final energy: -9.53 eV/atom
* formation energy from the elements: 0.08 eV per atom
* space-group type: Cmmm


Entry 10:
DFT (PBE) results for a relaxed UGa2Os crystal.

a b c (Å): 3.0898 3.0898 7.2698
angles (deg): 90.00 90.00 90.00
Atoms (fractional coordinates):
U 0.0000 0.0000 0.0000
Ga 0.5000 0.5000 0.3020
Ga 0.5000 0.5000 0.6980
Os 0.0000 0.0000 0.5000

Values from the calculation:
* crystal system: tetragonal
* DOS(E_F): 1.287 states/eV per atom
* final energy: -7.16 eV/atom
* formation energy from the elements: -0.02 eV per atom
* space-group type: P4/mmm


Entry 11:
DFT (PBE) results for a relaxed UGaOs crystal.

a b c (Å): 4.4776 4.4776 3.1007
angles (deg): 90.00 90.00 120.00
Atoms (fractional coordinates):
U 0.0000 0.0000 0.0000
Ga 0.3333 0.6667 0.5000
Os 0.6667 0.3333 0.5000

Values from the calculation:
* crystal system: hexagonal
* DOS(E_F): 1.062 states/eV per atom
* final energy: -8.68 eV/atom
* formation energy from the elements: -0.17 eV per atom
* space-group type: P-6m2


Entry 12:
DFT (PBE) results for a relaxed UGa3Os crystal.

a b c (Å): 6.3860 6.3860 6.3860
angles (deg): 90.00 90.00 90.00
Atoms (fractional coordinates):
U 0.0000 0.0000 0.5000
U 0.0000 0.5000 0.0000
U 0.5000 0.0000 0.0000
Ga 0.0000 0.0000 0.0000
Ga 0.2852 0.2852 0.2852
Ga 0.2852 0.2852 0.7148
Ga 0.2852 0.7148 0.2852
Ga 0.2852 0.7148 0.7148
Ga 0.7148 0.2852 0.2852
Ga 0.7148 0.2852 0.7148
Ga 0.7148 0.7148 0.2852
Ga 0.7148 0.7148 0.7148
Os 0.0000 0.5000 0.5000
Os 0.5000 0.0000 0.5000
Os 0.5000 0.5000 0.0000

Values from the calculation:
* crystal system: cubic
* DOS(E_F): 0.506 states/eV per atom
* final energy: -6.60 eV/atom
* formation energy from the elements: -0.28 eV per atom
* space-group type: Pm-3m


Entry 13:
DFT (PBE) results for a relaxed U2GaOs3 crystal.

a b c (Å): 5.5334 5.5334 7.8796
angles (deg): 90.00 90.00 120.00
Atoms (fractional coordinates):
U 0.3333 0.6667 0.0753
U 0.3333 0.6667 0.4247
U 0.6667 0.3333 0.5753
U 0.6667 0.3333 0.9247
Ga 0.0000 0.0000 0.0000
Ga 0.0000 0.0000 0.5000
Os 0.1712 0.3425 0.7500
Os 0.1712 0.8288 0.7500
Os 0.3425 0.1712 0.2500
Os 0.6575 0.8288 0.7500
Os 0.8288 0.1712 0.2500
Os 0.8288 0.6575 0.2500

Values from the calculation:
* crystal system: hexagonal
* DOS(E_F): 1.805 states/eV per atom
* final energy: -10.07 eV/atom
* formation energy from the elements: -0.19 eV per atom
* space-group type: P6_3/mmc


Entry 14:
DFT (PBE) results for a relaxed UGa2Os crystal.

a b c (Å): 4.4054 6.8467 5.1046
angles (deg): 90.00 109.54 90.00
Atoms (fractional coordinates):
U 0.0539 0.2500 0.1669
U 0.9461 0.7500 0.8331
Ga 0.4002 0.0512 0.7341
Ga 0.4002 0.4488 0.7341
Ga 0.5998 0.5512 0.2659
Ga 0.5998 0.9488 0.2659
Os 0.1380 0.7500 0.3811
Os 0.8620 0.2500 0.6189

Values from the calculation:
* crystal system: monoclinic
* DOS(E_F): 1.642 states/eV per atom
* final energy: -7.36 eV/atom
* formation energy from the elements: -0.21 eV per atom
* space-group type: P2_1/m


Entry 15:
DFT (PBE) results for a relaxed U4Ga12Os crystal.

a b c (Å): 7.4311 7.4311 7.4311
angles (deg): 109.47 109.47 109.47
Atoms (fractional coordinates):
U 0.0000 0.0000 0.5000
U 0.0000 0.5000 0.0000
U 0.5000 0.0000 0.0000
U 0.5000 0.5000 0.5000
Ga 0.0000 0.2927 0.2927
Ga 0.0000 0.7073 0.7073
Ga 0.2500 0.5000 0.7500
Ga 0.2500 0.7500 0.5000
Ga 0.2927 0.0000 0.2927
Ga 0.2927 0.2927 0.0000
Ga 0.5000 0.2500 0.7500
Ga 0.5000 0.7500 0.2500
Ga 0.7073 0.0000 0.7073
Ga 0.7073 0.7073 0.0000
Ga 0.7500 0.2500 0.5000
Ga 0.7500 0.5000 0.2500
Os 0.0000 0.0000 0.0000

Values from the calculation:
* crystal system: cubic
* DOS(E_F): 1.598 states/eV per atom
* final energy: -5.69 eV/atom
* formation energy from the elements: -0.24 eV per atom
* space-group type: Im-3m


Entry 16:
DFT (PBE) results for a relaxed UZnGaOs crystal.

a b c (Å): 4.6426 4.6426 4.6426
angles (deg): 60.00 60.00 60.00
Atoms (fractional coordinates):
U 0.0000 0.0000 0.0000
Zn 0.7500 0.7500 0.7500
Ga 0.5000 0.5000 0.5000
Os 0.2500 0.2500 0.2500

Values from the calculation:
* crystal system: cubic
* DOS(E_F): 1.472 states/eV per atom
* final energy: -6.59 eV/atom
* formation energy from the elements: 0.12 eV per atom
* space-group type: F-43m


Entry 17:
DFT (PBE) results for a relaxed V3GaOs crystal.

a b c (Å): 4.3729 4.3729 4.3729
angles (deg): 90.00 90.00 90.00
Atoms (fractional coordinates):
V 0.0000 0.0000 0.5000
V 0.0000 0.5000 0.0000
V 0.5000 0.0000 0.0000
Ga 0.0000 0.0000 0.0000
Os 0.5000 0.5000 0.5000

Values from the calculation:
* crystal system: cubic
* DOS(E_F): 1.584 states/eV per atom
* final energy: -6.93 eV/atom
* formation energy from the elements: 1.39 eV per atom
* space-group type: Pm-3m


Entry 18:
DFT (PBE) results for a relaxed VGaOs crystal.

a b c (Å): 4.5074 4.5074 5.4353
angles (deg): 102.61 102.61 52.70
Atoms (fractional coordinates):
V 0.1536 0.1536 0.3113
V 0.8464 0.8464 0.6887
Ga 0.5000 0.5000 0.0000
Ga 0.5000 0.5000 0.5000
Os 0.1792 0.1792 0.8020
Os 0.8208 0.8208 0.1980

Values from the calculation:
* crystal system: monoclinic
* DOS(E_F): 0.675 states/eV per atom
* final energy: -7.94 eV/atom
* formation energy from the elements: -0.14 eV per atom
* space-group type: C2/m


Entry 19:
DFT (PBE) results for a relaxed V2Ga2Os crystal.

a b c (Å): 6.6226 6.6226 3.2382
angles (deg): 90.00 90.00 90.00
Atoms (fractional coordinates):
V 0.1691 0.3309 0.0000
V 0.3309 0.8309 0.0000
V 0.6691 0.1691 0.0000
V 0.8309 0.6691 0.0000
Ga 0.1323 0.6323 0.5000
Ga 0.3677 0.1323 0.5000
Ga 0.6323 0.8677 0.5000
Ga 0.8677 0.3677 0.5000
Os 0.0000 0.0000 0.5000
Os 0.5000 0.5000 0.5000

Values from the calculation:
* crystal system: tetragonal
* DOS(E_F): 0.776 states/eV per atom
* final energy: -7.14 eV/atom
* formation energy from the elements: -0.03 eV per atom
* space-group type: P4/mbm


Entry 20:
DFT (PBE) results for a relaxed VGa3Os crystal.

a b c (Å): 4.7658 4.7658 4.7658
angles (deg): 90.00 90.00 90.00
Atoms (fractional coordinates):
V 0.0000 0.0000 0.0000
Ga 0.0000 0.5000 0.5000
Ga 0.5000 0.0000 0.5000
Ga 0.5000 0.5000 0.0000
Os 0.5000 0.5000 0.5000

Values from the calculation:
* crystal system: cubic
* DOS(E_F): 1.285 states/eV per atom
* final energy: -5.35 eV/atom
* formation energy from the elements: 0.53 eV per atom
* space-group type: Pm-3m